First-principles (GGA-PBE) data for an optimized crystal structure of KLaY2Ru, as listed in Alexandria via LeMat-Bulk. Values from VASP.

- DFT total energy (eV/atom) = -5.636
- N(E_F) (states/eV per cell) = 5.00

```
&SYSTEM
  ibrav = 0, nat = 5, ntyp = 4
/
ATOMIC_SPECIES
K 39.10 K.upf
La 138.91 La.upf
Y 88.91 Y.upf
Ru 101.07 Ru.upf
CELL_PARAMETERS angstrom
5.5882 0.0000 0.0000
0.0000 5.5882 0.0000
0.0000 0.0000 5.6237
ATOMIC_POSITIONS crystal
K 0.0000 0.0000 0.0000
La 0.5000 0.5000 0.0000
Y 0.0000 0.5000 0.5000
Y 0.5000 0.0000 0.5000
Ru 0.5000 0.5000 0.5000
```

=====

First-principles (GGA-PBE) data for an optimized crystal structure of KLa2ZnRu, as listed in Alexandria via LeMat-Bulk. Values from VASP.

- DFT total energy (eV/atom) = -4.318
- N(E_F) (states/eV per cell) = 3.88

```
&SYSTEM
  ibrav = 0, nat = 5, ntyp = 4
/
ATOMIC_SPECIES
K 39.10 K.upf
La 138.91 La.upf
Zn 65.41 Zn.upf
Ru 101.07 Ru.upf
CELL_PARAMETERS angstrom
5.4688 0.0000 0.0000
0.0000 5.4688 0.0000
0.0000 0.0000 5.3186
ATOMIC_POSITIONS crystal
K 0.0000 0.0000 0.0000
La 0.0000 0.5000 0.5000
La 0.5000 0.0000 0.5000
Zn 0.5000 0.5000 0.0000
Ru 0.5000 0.5000 0.5000
```

=====

First-principles (GGA-PBE) data for an optimized crystal structure of KLaS2, as listed in Alexandria via LeMat-Bulk. Values from VASP.

- DFT total energy (eV/atom) = -5.457
- N(E_F) (states/eV per cell) = 0.00

```
&SYSTEM
  ibrav = 0, nat = 4, ntyp = 3
/
ATOMIC_SPECIES
K 39.10 K.upf
La 138.91 La.upf
S 32.06 S.upf
CELL_PARAMETERS angstrom
2.1329 1.2314 7.5682
-2.1329 1.2314 7.5682
0.0000 -2.4629 7.5682
ATOMIC_POSITIONS crystal
K 0.0000 0.0000 0.0000
La 0.8296 0.8296 0.8296
S 0.2313 0.2313 0.2313
S 0.4275 0.4275 0.4275
```

=====

Q: Which formula does entry 3 have?
A: KLaS2

=====

Q: Look up the N(E_F) of the third one.
A: 0.00 states/eV per cell

=====

Q: Which of these has the lowest N(E_F)?
A: KLaS2

=====

Q: Which value of N(E_F) does entry 1 give?
A: 5.00 states/eV per cell